A relaxed SrCo2Cu crystal, computed with PBE-GGA.

Properties
Calculated total energy   -4.526 eV/atom
Energy of formation   1.885 eV/f.u.
N(E_F)   4.606 states/eV per cell

Cell lengths 4.2419, 4.0115, 4.8865 Å; angles 79.32, 90.00, 90.00 degrees
Each line ends with the local moment (μB).
Sites, in units of the cell vectors:
Co  0.0000  0.0204  0.1508  1.44
Sr  0.5000  0.7500  0.7500  -0.04
Co  0.0000  0.4796  0.3492  1.44
Cu  0.5000  0.2500  0.2500  0.06

=====

A relaxed Pm4Ho3Er3 crystal, computed with PBE-GGA.

Properties
Calculated total energy   -4.542 eV/atom
Energy of formation   1.004 eV/f.u.
N(E_F)   7.518 states/eV per cell

Cell lengths 3.7847, 9.2610, 9.2610 Å; angles 89.97, 90.00, 90.00 degrees
Sites, in units of the cell vectors:
Er  0.5000  0.3316  0.3315
Pm  0.0000  0.8690  0.8693
Er  0.5000  0.8314  0.1686
Er  0.5000  0.6685  0.6684
Ho  0.0000  0.5005  0.0003
Pm  0.0000  0.3694  0.6306
Ho  0.5000  0.1685  0.8315
Pm  0.0000  0.1307  0.1310
Ho  0.0000  0.9997  0.4995
Pm  0.0000  0.6306  0.3694

=====

A relaxed Al2Cu8Si crystal, computed with PBE-GGA.

Properties
Calculated total energy   -4.286 eV/atom
N(E_F)   2.658 states/eV per cell
E_form (uncorrected)   -1.471 eV per formula unit

Cell lengths 3.7225, 5.8582, 6.8090 Å; angles 106.37, 105.86, 90.00 degrees
Sites, in units of the cell vectors:
Al  0.7801  0.3543  0.5603
Cu  0.5912  0.4432  0.1824
Cu  0.1392  0.1832  0.2784
Cu  0.6772  0.9092  0.3544
Cu  0.8608  0.8168  0.7216
Al  0.2199  0.6457  0.4397
Cu  0.9591  0.2695  0.9181
Cu  0.3228  0.0908  0.6456
Cu  0.4088  0.5568  0.8176
Si  0.5000  0.0000  0.0000
Cu  0.0409  0.7305  0.0819

=====

A relaxed FeMoRh2 crystal, computed with PBE-GGA.

Properties
Calculated total energy   -8.616 eV/atom
Energy of formation   -0.466 eV/f.u.
N(E_F)   2.556 states/eV per cell

Cell lengths 3.8439, 3.8447, 3.7693 Å; angles 90.00, 90.00, 90.00 degrees
Each line ends with the local moment (μB).
Sites, in units of the cell vectors:
Fe  0.5000  0.0000  0.5000  2.38
Mo  0.0000  0.5000  0.5000  -0.70
Rh  0.5000  0.5000  0.0000  0.09
Rh  0.0000  0.0000  0.0000  0.09

=====

A relaxed GaAg crystal, computed with PBE-GGA.

Properties
Calculated total energy   -2.525 eV/atom
Energy of formation   0.828 eV/f.u.
N(E_F)   5.095 states/eV per cell

Cell lengths 5.9605, 5.9605, 5.9605 Å; angles 90.00, 90.00, 90.00 degrees
Sites, in units of the cell vectors:
Ga  0.7500  0.7500  0.2500
Ga  0.2500  0.2500  0.2500
Ga  0.7500  0.2500  0.7500
Ag  0.5000  0.0000  0.5000
Ag  0.5000  0.5000  0.0000
Ga  0.2500  0.7500  0.7500
Ag  0.0000  0.0000  0.0000
Ag  0.0000  0.5000  0.5000

=====

A relaxed Pm2Pd4Pb crystal, computed with PBE-GGA.

Properties
Calculated total energy   -4.961 eV/atom
Energy of formation   -0.745 eV/f.u.
N(E_F)   2.977 states/eV per cell

Cell lengths 5.0324, 5.0324, 8.1690 Å; angles 107.94, 107.94, 90.00 degrees
Sites, in units of the cell vectors:
Pb  0.0000  0.0000  0.0000
Pd  0.5000  0.0000  0.0000
Pm  0.6327  0.6327  0.2655
Pd  0.0000  0.5000  0.0000
Pd  0.8138  0.8138  0.6276
Pd  0.1862  0.1862  0.3724
Pm  0.3673  0.3673  0.7345

=====

A relaxed YMn2W crystal, computed with PBE-GGA.

Properties
Calculated total energy   -9.015 eV/atom
Energy of formation   1.694 eV/f.u.
N(E_F)   3.667 states/eV per cell

Cell lengths 4.4862, 4.4862, 3.0936 Å; angles 90.00, 90.00, 90.00 degrees
Each line ends with the local moment (μB).
Sites, in units of the cell vectors:
Y  0.0000  0.5000  0.5000  -0.07
W  0.5000  0.0000  0.5000  -0.29
Mn  0.5000  0.5000  0.0000  0.56
Mn  0.0000  0.0000  0.0000  0.56

=====

A relaxed Pr2Nd7Sm crystal, computed with PBE-GGA.

Properties
Calculated total energy   -4.152 eV/atom
Energy of formation   6.135 eV/f.u.
N(E_F)   16.219 states/eV per cell

Cell lengths 5.4945, 9.6420, 9.6420 Å; angles 125.48, 90.00, 90.00 degrees
Sites, in units of the cell vectors:
Pr  0.5000  0.2965  0.7035
Nd  0.5000  0.2915  0.0707
Nd  0.5000  0.7085  0.9293
Nd  0.0000  0.2146  0.7854
Pr  0.5000  0.7035  0.2965
Sm  0.0000  0.0000  0.0000
Nd  0.5000  0.0707  0.2915
Nd  0.0000  0.7854  0.2146
Nd  0.5000  0.5000  0.5000
Nd  0.5000  0.9293  0.7085

=====

- What is the formula in the first record?
  SrCo2Cu

=====

Please write out number 7 again, unchanged.
A relaxed YMn2W crystal, computed with PBE-GGA.

Properties
Calculated total energy   -9.015 eV/atom
Energy of formation   1.694 eV/f.u.
N(E_F)   3.667 states/eV per cell

Cell lengths 4.4862, 4.4862, 3.0936 Å; angles 90.00, 90.00, 90.00 degrees
Each line ends with the local moment (μB).
Sites, in units of the cell vectors:
Y  0.0000  0.5000  0.5000  -0.07
W  0.5000  0.0000  0.5000  -0.29
Mn  0.5000  0.5000  0.0000  0.56
Mn  0.0000  0.0000  0.0000  0.56